Na2NiAgF8: optimized geometry, PBE+U.

Final energy ... -45.52 eV/cell
Magnetic moment ... 0.99 Bohr magnetons per cell

CIF file:
```
data_Na2NiAgF8
_chemical_formula_sum 'Na2 Ni1 Ag1 F8'
_cell_length_a 4.952
_cell_length_b 4.985
_cell_length_c 6.861
_cell_angle_alpha 85.52
_cell_angle_beta 86.36
_cell_angle_gamma 85.55
_space_group_name_H-M_alt 'P -1'
_space_group_IT_number 2
_space_group_name_Hall '-P 1'
loop_
_atom_site_label
_atom_site_type_symbol
_atom_site_fract_x
_atom_site_fract_y
_atom_site_fract_z
Na1 Na 0.007 0.496 0.266
Ni1 Ni 0.500 0.000 0.500
Ag1 Ag 0.500 0.000 0.000
F1 F 0.197 0.277 0.000
F2 F 0.210 0.245 0.509
F3 F 0.337 0.786 0.692
F4 F 0.343 0.827 0.250
```